Entry from Alexandria via LeMat-Bulk: a geometry-optimized Co2Re structure (GGA-PBEsol).

abc: 2.5254 3.9725 3.9725
angles: 120.00 90.00 90.00
Site moments in Bohr magnetons follow the coordinates.
Element x y z (fractional)
Co 0.0000 0.6667 0.3333  0.85
Co 0.0000 0.3333 0.6667  0.85
Re 0.5000 0.0000 0.0000  -0.14

Output
Total energy   -28.76 eV/cell
E_form   17 meV per atom
Spin magnetization   1.5 μB per formula unit

Entry from Alexandria via LeMat-Bulk: a geometry-optimized In2TcSe structure (GGA-PBEsol).

abc: 3.5787 4.4067 4.7831
angles: 90.00 90.00 90.00
Element x y z (fractional)
In 0.5000 0.0000 0.5000
Se 0.5000 0.5000 0.0000
In 0.0000 0.0000 0.0000
Tc 0.0000 0.5000 0.5000

Output
Total energy   -19.33 eV/cell
Uncorrected formation energy   0.44 eV per atom
Spin magnetization   0.0 μB per formula unit

Entry from Alexandria via LeMat-Bulk: a geometry-optimized RbSi3Sn structure (GGA-PBEsol).

abc: 5.3287 5.3287 5.3287
angles: 90.00 90.00 90.00
Element x y z (fractional)
Si 0.0000 0.0000 0.5000
Si 0.0000 0.5000 0.0000
Sn 0.5000 0.5000 0.5000
Si 0.5000 0.0000 0.0000
Rb 0.0000 0.0000 0.0000

Output
Total energy   -12.24 eV/cell
Uncorrected formation energy   2.06 eV per atom
Spin magnetization   0.0 μB per formula unit

Entry from Alexandria via LeMat-Bulk: a geometry-optimized CaBi2SBr structure (GGA-PBEsol).

abc: 5.0627 5.5745 5.5745
angles: 90.00 90.00 90.00
Element x y z (fractional)
S 0.5000 0.0000 0.0000
Bi 0.0000 0.0000 0.5000
Bi 0.0000 0.5000 0.0000
Ca 0.5000 0.5000 0.5000
Br 0.0000 0.0000 0.0000

Output
Total energy   -15.69 eV/cell
Uncorrected formation energy   0.25 eV per atom
Spin magnetization   0.0 μB per formula unit

Entry from Alexandria via LeMat-Bulk: a geometry-optimized MgPb3 structure (GGA-PBEsol).

abc: 3.4485 5.7557 6.5371
angles: 116.12 105.29 90.00
Element x y z (fractional)
Pb 0.7346 0.7346 0.4691
Pb 0.5000 0.0000 0.0000
Pb 0.2654 0.2654 0.5309
Mg 0.0000 0.5000 0.0000

Output
Total energy   -13.70 eV/cell
E_form   3 meV per atom
Spin magnetization   0.0 μB per formula unit

Entry from Alexandria via LeMat-Bulk: a geometry-optimized Tl2Se structure (GGA-PBEsol).

abc: 4.4263 4.4263 5.3769
angles: 90.00 90.00 120.00
Element x y z (fractional)
Se 0.0000 0.0000 0.0000
Tl 0.6667 0.3333 0.2944
Tl 0.3333 0.6667 0.7056

Output
Total energy   -10.02 eV/cell
Uncorrected formation energy   -0.30 eV per atom
Spin magnetization   0.0 μB per formula unit

Entry from Alexandria via LeMat-Bulk: a geometry-optimized Bi2Te4Pb structure (GGA-PBEsol).

abc: 4.4234 4.4234 14.0625
angles: 80.95 80.95 60.01
Element x y z (fractional)
Bi 0.4280 0.4280 0.7159
Te 0.7133 0.7133 0.8602
Pb 0.0000 0.0000 0.0000
Te 0.8645 0.8645 0.4067
Te 0.1355 0.1355 0.5933
Te 0.2868 0.2868 0.1398
Bi 0.5720 0.5720 0.2841

Output
Total energy   -28.52 eV/cell
Uncorrected formation energy   -0.26 eV per atom
Spin magnetization   0.0 μB per formula unit

Entry from Alexandria via LeMat-Bulk: a geometry-optimized SbPb2Se structure (GGA-PBEsol).

abc: 4.2434 4.2434 7.9060
angles: 74.43 74.43 60.00
Element x y z (fractional)
Sb 0.5000 0.5000 0.5000
Se 0.0000 0.0000 0.0000
Pb 0.7469 0.7469 0.7594
Pb 0.2531 0.2531 0.2406

Output
Total energy   -16.99 eV/cell
Uncorrected formation energy   -0.15 eV per atom
Spin magnetization   0.0 μB per formula unit